A plane-wave DFT calculation with SCAN was carried out for a crystal of SrTa2Zn relaxed with PBEsol.

The calculation puts the formation energy at 226 kJ/mol of formula units. For the total energy, the calculation gives -333.24 eV/cell.

The structure belongs to space group Cm (No. 8); the cell edges are 9.619, 2.924 and 6.314 Å and the angles 90.00°, 97.05° and 90.00°. Symmetry generates all atoms from Sr at (0.000, 0.000, 0.000), Ta at (0.216, 0.000, 0.631), Ta at (0.475, 0.000, 0.517) and Zn at (0.258, 0.500, 0.276).